The following is a PBE calculation of a relaxed structure of Li2LaY, from Alexandria.

Results
calculated formation energy = 3.13 kcal/mol of atoms
density of states at the Fermi level = 5.4 states/eV/f.u.
mass density = 3.6 g cm⁻³
calculated volume = 110.0 Å³/f.u.
energy above the most stable polymorph in this dataset = 0.29 eV/f.u.

a b c (Å): 3.784 3.784 7.682
angles (deg): 90.00 90.00 90.00
Element x y z (fractional)
Li1 0.000 0.000 0.009
Li2 0.000 0.000 0.491
La1 0.500 0.500 0.750
Y1 0.500 0.500 0.250

=====

The following is a PBE calculation of a relaxed structure of Tb4Y4Er3, from Alexandria.

Results
calculated formation energy = 1.34 kcal/mol of atoms
density of states at the Fermi level = 21.0 states/eV/f.u.
mass density = 7.1 g cm⁻³
calculated volume = 348.5 Å³/f.u.
energy above the most stable polymorph in this dataset = 0.00 eV/f.u.

a b c (Å): 3.516 5.589 18.042
angles (deg): 81.07 84.40 90.00
Element x y z (fractional)
Tb1 0.454 0.454 0.091
Tb2 0.546 0.546 0.909
Tb3 0.320 0.820 0.360
Tb4 0.680 0.180 0.640
Y1 0.733 0.733 0.535
Y2 0.590 0.091 0.820
Y3 0.267 0.267 0.465
Y4 0.410 0.909 0.180
Er1 0.863 0.363 0.273
Er2 0.137 0.637 0.727
Er3 0.000 0.000 0.000

=====

The following is a PBE calculation of a relaxed structure of Ac2Nd12Ho5, from Alexandria.

Results
calculated formation energy = 2.65 kcal/mol of atoms
density of states at the Fermi level = 28.0 states/eV/f.u.
mass density = 7.4 g cm⁻³
calculated volume = 671.1 Å³/f.u.
energy above the most stable polymorph in this dataset = 0.05 eV/f.u.

a b c (Å): 11.763 8.890 9.612
angles (deg): 70.03 90.00 131.42
Element x y z (fractional)
Ac1 0.735 0.000 0.000
Ac2 0.265 0.000 0.000
Ho1 0.000 0.000 0.500
Ho2 0.811 0.621 0.331
Ho3 0.306 0.612 0.243
Ho4 0.694 0.388 0.757
Ho5 0.189 0.379 0.669
Nd1 0.873 0.746 0.942
Nd2 0.568 0.622 0.799
Nd3 0.174 0.779 0.426
Nd4 0.127 0.254 0.058
Nd5 0.577 0.154 0.223
Nd6 0.394 0.221 0.574
Nd7 0.946 0.378 0.201
Nd8 0.423 0.846 0.777
Nd9 0.432 0.378 0.201
Nd10 0.054 0.622 0.799
Nd11 0.826 0.221 0.574
Nd12 0.606 0.779 0.426

=====

The following is a PBE calculation of a relaxed structure of CaHoGaAu, from Alexandria.

Results
calculated formation energy = -15.06 kcal/mol of atoms
density of states at the Fermi level = 3.9 states/eV/f.u.
mass density = 8.3 g cm⁻³
calculated volume = 93.9 Å³/f.u.
energy above the most stable polymorph in this dataset = 0.12 eV/f.u.

a b c (Å): 5.101 5.101 5.101
angles (deg): 60.00 60.00 60.00
Element x y z (fractional)
Ga1 0.250 0.250 0.250
Ca1 0.500 0.500 0.500
Ho1 0.000 0.000 0.000
Au1 0.750 0.750 0.750

=====

The following is a PBE calculation of a relaxed structure of Ni3Pt2Au, from Alexandria.

Results
calculated formation energy = -0.74 kcal/mol of atoms
density of states at the Fermi level = 8.7 states/eV/f.u.
mass density = 15.3 g cm⁻³
calculated volume = 82.7 Å³/f.u.

a b c (Å): 2.737 2.737 11.044
angles (deg): 90.00 90.00 90.00
Each line ends with the local moment (μB).
Element x y z (fractional)
Pt1 0.500 0.500 0.836  0.31
Pt2 0.500 0.500 0.164  0.31
Ni1 0.000 0.000 0.325  0.55
Ni2 0.000 0.000 0.675  0.55
Ni3 0.000 0.000 0.000  0.77
Au1 0.500 0.500 0.500  0.01

=====

The following is a PBE calculation of a relaxed structure of Ni14GeRh, from Alexandria.

Results
calculated formation energy = -0.91 kcal/mol of atoms
density of states at the Fermi level = 25.5 states/eV/f.u.
mass density = 9.1 g cm⁻³
calculated volume = 181.1 Å³/f.u.

a b c (Å): 5.050 5.050 8.243
angles (deg): 90.00 90.00 120.48
Each line ends with the local moment (μB).
Element x y z (fractional)
Ge1 0.539 0.461 0.500  -0.02
Ni1 0.709 0.291 0.000  0.65
Ni2 0.377 0.124 0.244  0.61
Ni3 0.377 0.124 0.756  0.61
Ni4 0.876 0.623 0.756  0.61
Ni5 0.037 0.459 0.500  0.42
Ni6 0.876 0.623 0.244  0.61
Ni7 0.375 0.625 0.751  0.58
Ni8 0.210 0.790 0.000  0.68
Ni9 0.874 0.126 0.244  0.67
Ni10 0.375 0.625 0.249  0.58
Ni11 0.874 0.126 0.756  0.67
Ni12 0.211 0.292 0.000  0.72
Ni13 0.541 0.963 0.500  0.42
Ni14 0.708 0.789 0.000  0.72
Rh1 0.039 0.961 0.500  0.41

=====

The following is a PBE calculation of a relaxed structure of IrRu5, from Alexandria.

Results
calculated formation energy = -0.88 kcal/mol of atoms
density of states at the Fermi level = 5.0 states/eV/f.u.
mass density = 13.8 g cm⁻³
calculated volume = 83.9 Å³/f.u.
energy above the most stable polymorph in this dataset = 0.00 eV/f.u.

a b c (Å): 4.739 4.739 4.312
angles (deg): 90.00 90.00 120.00
Element x y z (fractional)
Ru1 0.332 0.667 0.000
Ru2 0.001 0.001 0.000
Ru3 0.333 0.000 0.500
Ru4 0.000 0.333 0.500
Ru5 0.667 0.332 0.000
Ir1 0.667 0.667 0.500

=====

The following is a PBE calculation of a relaxed structure of K2CdP, from Alexandria.

Results
calculated formation energy = 1.05 kcal/mol of atoms
density of states at the Fermi level = 3.5 states/eV/f.u.
mass density = 3.0 g cm⁻³
calculated volume = 124.0 Å³/f.u.
energy above the most stable polymorph in this dataset = 0.90 eV/f.u.

a b c (Å): 5.597 5.597 5.597
angles (deg): 60.00 60.00 60.00
Element x y z (fractional)
K1 0.750 0.750 0.750
K2 0.250 0.250 0.250
Cd1 0.500 0.500 0.500
P1 0.000 0.000 0.000

=====

What did the third record say?
The following is a PBE calculation of a relaxed structure of Ac2Nd12Ho5, from Alexandria.

Results
calculated formation energy = 2.65 kcal/mol of atoms
density of states at the Fermi level = 28.0 states/eV/f.u.
mass density = 7.4 g cm⁻³
calculated volume = 671.1 Å³/f.u.
energy above the most stable polymorph in this dataset = 0.05 eV/f.u.

a b c (Å): 11.763 8.890 9.612
angles (deg): 70.03 90.00 131.42
Element x y z (fractional)
Ac1 0.735 0.000 0.000
Ac2 0.265 0.000 0.000
Ho1 0.000 0.000 0.500
Ho2 0.811 0.621 0.331
Ho3 0.306 0.612 0.243
Ho4 0.694 0.388 0.757
Ho5 0.189 0.379 0.669
Nd1 0.873 0.746 0.942
Nd2 0.568 0.622 0.799
Nd3 0.174 0.779 0.426
Nd4 0.127 0.254 0.058
Nd5 0.577 0.154 0.223
Nd6 0.394 0.221 0.574
Nd7 0.946 0.378 0.201
Nd8 0.423 0.846 0.777
Nd9 0.432 0.378 0.201
Nd10 0.054 0.622 0.799
Nd11 0.826 0.221 0.574
Nd12 0.606 0.779 0.426